# PBE with a Hubbard U K3FeAs2O6, relaxed
data_K3FeAs2O6
_space_group_name_H-M_alt 'P -3 m 1'
_space_group_IT_number 164
_space_group_name_Hall '-P 3 2"'
_cell_length_a 5.7045
_cell_length_b 5.7045
_cell_length_c 6.9951
_cell_angle_alpha 90.00
_cell_angle_beta 90.00
_cell_angle_gamma 120.00
loop_
_atom_site_label
_atom_site_fract_x
_atom_site_fract_y
_atom_site_fract_z
_atom_site_occupancy
K1 0.0000 0.0000 0.0000 1
K2 0.3333 0.6667 0.6678 1
Fe1 0.0000 0.0000 0.5000 1
As1 0.3333 0.6667 0.2139 1
O1 0.1690 0.3381 0.3228 1
# crystal system	trigonal
# total magnetic moment	5.00	μB per cell
# density of states at the Fermi level	0.00	states/eV/cell
# total energy	-66.23	eV/cell
# calculated volume	197.1	Å³/f.u.